## FeBPdAu2 (PBE)

Data for a relaxed structure of FeBPdAu2.

It has space group P4/mmm (No. 123), with a = 5.0717 Å, b = 5.0717 Å, c = 4.6064 Å, α = 90.00°, β = 90.00° and γ = 90.00°. The distinct sites, in fractional coordinates, are Fe at (0.0000, 0.0000, 0.0000), B at (0.5000, 0.5000, 0.0000), Pd at (0.0000, 0.0000, 0.5000) and Au at (0.0000, 0.5000, 0.5000).

The energy comes out at -3.64 eV per atom. The size of the total moment is 3.66 μB per formula unit.

***

## LaPbNF2 (PBE)

Data for a relaxed structure of LaPbNF2.

It has space group P4/mmm (No. 123), with a = 4.6589 Å, b = 4.6589 Å, c = 4.7717 Å, α = 90.00°, β = 90.00° and γ = 90.00°. The distinct sites, in fractional coordinates, are La at (0.0000, 0.0000, 0.0000), Pb at (0.5000, 0.5000, 0.5000), N at (0.0000, 0.0000, 0.5000) and F at (0.0000, 0.5000, 0.0000).

For the distance to the lowest polymorph of the same formula, the calculation gives 0.0000 eV per atom. As for the energy relative to the elements, uncorrected: -1.724 eV/atom. The size of the total moment is 0.00 μB per formula unit.

***

## ScPaSn6 (PBE)

Data for a relaxed structure of ScPaSn6.

It has space group P4/mmm (No. 123), with a = 4.6354 Å, b = 4.6354 Å, c = 9.2462 Å, α = 90.00°, β = 90.00° and γ = 90.00°. The distinct sites, in fractional coordinates, are Sc at (0.0000, 0.0000, 0.0000), Pa at (0.0000, 0.0000, 0.5000), Sn at (0.0000, 0.5000, 0.2452), Sn at (0.5000, 0.5000, 0.0000) and Sn at (0.5000, 0.5000, 0.5000).

The energy comes out at -5.25 eV per atom. The size of the total moment is 0.00 μB per formula unit.

***

## CuIrSe (PBE)

Data for a relaxed structure of CuIrSe.

It has space group Amm2 (No. 38), with a = 11.9833 Å, b = 2.9646 Å, c = 5.1382 Å, α = 90.00°, β = 90.00° and γ = 90.00°. The distinct sites, in fractional coordinates, are Cu at (0.1651, 0.0000, 0.0000), Ir at (0.0000, 0.0000, 0.6669), Ir at (0.5000, 0.0000, 0.6658) and Se at (0.3282, 0.0000, 0.3326).

For the distance to the lowest polymorph of the same formula, the calculation gives 0.1221 eV per atom. As for the energy relative to the elements, uncorrected: 0.384 eV/atom. The size of the total moment is 0.00 μB per formula unit.

***

## Rb2VPbBr6 (PBE)

Data for a relaxed structure of Rb2VPbBr6.

It has space group R-3m (No. 166, hexagonal axes), with a = 7.8127 Å, b = 7.8127 Å, c = 41.7814 Å, α = 90.00°, β = 90.00° and γ = 120.00°. The distinct sites, in fractional coordinates, are Rb at (0.0000, 0.0000, 0.1301), Rb at (0.0000, 0.0000, 0.3048), V at (0.0000, 0.0000, 0.0000), V at (0.0000, 0.0000, 0.5000), Pb at (0.0000, 0.0000, 0.4157), Br at (0.0086, 0.5043, 0.1305) and Br at (0.0181, 0.5090, 0.7037).

For the distance to the lowest polymorph of the same formula, the calculation gives 0.0000 eV per atom. As for the energy relative to the elements, uncorrected: -1.199 eV/atom. The size of the total moment is 3.00 μB per formula unit.